[1]
The following is a DFT calculation (PBE) of a geometry-optimized K3AcCl6 structure.

Cell and atoms, written as extended XYZ:
```
20
Lattice="7.7567 0.0000 0.1029 0.0000 8.1844 0.0000 0.2462 0.0000 11.1160" Properties=species:S:1:pos:R:3 pbc="T T T"
K 4.2857 7.6045 8.5206
K 3.8784 4.0922 0.0515
K 3.7172 0.5799 2.6983
K 0.2843 4.6721 2.9111
K 0.1231 0.0000 5.5580
K 7.7187 3.5123 8.3078
Ac 4.0015 4.0922 5.6095
Ac 0.0000 0.0000 0.0000
Cl 5.6824 1.5244 10.4732
Cl 5.4097 1.7580 6.6002
Cl 5.0697 3.4928 2.9901
Cl 2.9333 4.6916 8.2288
Cl 2.5932 6.4264 4.6187
Cl 2.3205 6.6600 0.7458
Cl 1.6810 2.5678 4.8637
Cl 1.4083 2.3342 0.9908
Cl 1.3144 0.5994 8.4967
Cl 6.6885 7.5850 2.7223
Cl 6.5947 5.8502 10.2282
Cl 6.3219 5.6166 6.3552
```

Output
Volume in Å³ per atom: 35.27
ΔE_f (raw) in kJ/mol of formula units: -2085.6


[2]
The following is a DFT calculation (PBE) of a geometry-optimized KLi2AcCl6 structure.

Cell and atoms, written as extended XYZ:
```
10
Lattice="7.0857 0.0005 0.0010 -3.5421 6.1362 0.0004 -3.5429 -2.0448 6.0973" Properties=species:S:1:pos:R:3 pbc="T T T"
K -3.4886 2.0728 3.3787
Li 0.0554 4.1168 2.2606
Li 0.0520 0.0279 5.3793
Ac 0.0533 0.0270 0.0348
Cl -1.9466 4.6502 4.0869
Cl 2.7985 0.0227 0.9764
Cl 2.2221 3.7875 0.9764
Cl -1.3151 2.4055 0.9758
Cl 0.5936 2.1214 4.0855
Cl -2.0293 -0.5519 4.0854
```

Output
Volume in Å³ per atom: 26.52
ΔE_f (raw) in kJ/mol of formula units: -1990.0


[3]
The following is a DFT calculation (PBE) of a geometry-optimized K2LiAcCl6 structure.

Cell and atoms, written as extended XYZ:
```
20
Lattice="7.4137 0.0000 0.0800 0.0000 7.6931 0.0000 0.1826 0.0000 10.5693" Properties=species:S:1:pos:R:3 pbc="T T T"
K 0.2244 7.1894 2.6991
K 4.0226 4.3503 8.0237
K 7.3719 0.5037 7.9502
K 3.5737 3.3429 2.6256
Li 3.7068 0.0000 0.0400
Li 0.0913 3.8466 5.2846
Ac 3.7981 0.0000 5.3246
Ac 0.0000 3.8466 0.0000
Cl 2.2950 5.4780 0.6077
Cl 6.0931 6.0617 5.9324
Cl 5.3013 2.2151 10.0416
Cl 1.5031 1.6315 4.7169
Cl 2.2172 5.3574 4.7330
Cl 6.0154 6.1823 10.0576
Cl 5.3791 2.3357 5.9163
Cl 1.5809 1.5108 0.5917
Cl 6.6641 4.1031 2.8447
Cl 3.0486 7.4366 8.0894
Cl 0.9322 3.5900 7.8045
Cl 4.5477 0.2566 2.5599
```

Output
Volume in Å³ per atom: 30.13
ΔE_f (raw) in kJ/mol of formula units: -2030.1


[4]
The following is a DFT calculation (PBE) of a geometry-optimized KAcMgCl6 structure.

Cell and atoms, written as extended XYZ:
```
18
Lattice="-3.0102 -6.2470 -1.7717 1.1200 1.6080 6.8837 -12.0756 5.6350 0.6484" Properties=species:S:1:pos:R:3 pbc="T T T"
K 0.0000 0.0000 0.0000
K -6.0378 2.8175 0.3242
Ac -3.2757 0.3984 4.1607
Ac -10.6902 0.5976 1.5997
Mg -4.6524 -2.2199 1.2755
Mg -9.3135 3.2159 4.4849
Cl -2.9559 -2.3049 3.1738
Cl -4.1903 -4.6739 0.7725
Cl -7.6838 2.9825 6.4287
Cl -9.7756 5.6699 4.9879
Cl -5.1250 0.1928 1.9421
Cl -6.5666 -2.9917 2.7684
Cl -11.1714 2.5512 6.0957
Cl -6.2821 -1.9865 -0.6683
Cl -7.3992 3.9878 2.9920
Cl -2.7945 -1.5552 -0.3354
Cl -8.8409 0.8033 3.8183
Cl -11.0100 3.3009 2.5866
```

Output
Volume in Å³ per atom: 32.88
ΔE_f (raw) in kJ/mol of formula units: -1848.8


[5]
The following is a DFT calculation (PBE) of a geometry-optimized KAcPbCl6 structure.

Cell and atoms, written as extended XYZ:
```
18
Lattice="6.9503 0.0000 0.0000 0.0000 6.9503 0.0000 0.0000 0.0000 13.7217" Properties=species:S:1:pos:R:3 pbc="T T T"
K 3.4752 3.4752 6.8473
K 0.0000 0.0000 13.7082
Ac 3.4752 3.4752 11.4310
Ac 0.0000 0.0000 4.5702
Pb 3.4752 3.4752 2.2874
Pb 0.0000 0.0000 9.1482
Cl 1.2742 5.6761 6.8441
Cl 5.6761 1.2742 6.8441
Cl 2.2010 2.2010 13.7049
Cl 4.7493 4.7493 13.7049
Cl 1.4056 5.5447 2.4645
Cl 5.5447 1.4056 2.4645
Cl 2.0696 2.0696 9.3253
Cl 4.8807 4.8807 9.3253
Cl 5.5236 1.4267 11.2825
Cl 1.4267 5.5236 11.2825
Cl 4.9018 4.9018 4.4217
Cl 2.0485 2.0485 4.4217
```

Output
Volume in Å³ per atom: 36.83
ΔE_f (raw) in kJ/mol of formula units: -1651.3


[6]
The following is a DFT calculation (PBE) of a geometry-optimized KSrAcCl6 structure.

Cell and atoms, written as extended XYZ:
```
18
Lattice="-2.0703 0.4232 7.3869 -1.7373 -6.2449 -4.1249 11.3941 -5.4868 3.5078" Properties=species:S:1:pos:R:3 pbc="T T T"
K 0.0000 0.0000 0.0000
K 5.6971 -2.7434 1.7539
Sr 0.8892 -3.1712 4.4266
Sr 6.6973 -8.1373 2.3432
Ac 1.0002 -5.3939 0.5893
Ac 6.5863 -5.9146 6.1804
Cl -0.9267 -4.4711 2.5463
Cl 0.8859 -2.9748 -1.0010
Cl 6.4639 -3.3344 4.8682
Cl 6.7006 -8.3337 7.7708
Cl 2.8169 -4.1085 2.4445
Cl 3.0611 -6.0252 -1.3468
Cl 8.5449 -4.4988 7.7785
Cl 1.1226 -7.9740 1.9016
Cl 4.5254 -5.2832 8.1165
Cl -0.9584 -6.8096 -1.0087
Cl 4.7696 -7.2000 4.3252
Cl 8.5132 -6.8374 4.2235
```

Output
Volume in Å³ per atom: 37.27
ΔE_f (raw) in kJ/mol of formula units: -2030.3


[7]
The following is a DFT calculation (PBE) of a geometry-optimized KAcTeCl structure.

Cell and atoms, written as extended XYZ:
```
4
Lattice="5.6290 0.0000 0.0000 2.8145 4.8749 0.0000 2.8145 1.6250 4.5961" Properties=species:S:1:pos:R:3 pbc="T T T"
Ac 0.0000 0.0000 0.0000
Te 8.4435 4.8749 3.4471
K 5.6290 3.2499 2.2980
Cl 2.8145 1.6250 1.1490
```

Output
Volume in Å³ per atom: 31.53
ΔE_f (raw) in kJ/mol of formula units: -501.8


[8]
The following is a DFT calculation (PBE) of a geometry-optimized KAcVCl6 structure.

Cell and atoms, written as extended XYZ:
```
18
Lattice="7.0100 0.0000 0.0000 -3.5050 6.0709 0.0000 0.0000 0.0000 13.7319" Properties=species:S:1:pos:R:3 pbc="T T T"
K 0.0000 0.0000 0.0000
K 0.0000 0.0000 6.8660
Ac 0.0000 4.0472 3.4330
Ac 3.5050 2.0236 10.2990
V 3.5050 2.0236 3.4330
V 0.0000 4.0472 10.2990
Cl 2.4616 3.7511 1.9427
Cl 5.5228 2.0635 1.9427
Cl -0.9744 5.8146 8.8086
Cl -2.0178 4.0074 11.7893
Cl 1.4872 2.0635 4.9233
Cl 4.5484 3.7511 4.9233
Cl 0.9744 5.8146 11.7893
Cl 4.4794 0.2562 4.9233
Cl -1.0434 2.3197 8.8086
Cl 2.5307 0.2562 1.9427
Cl 2.0178 4.0074 8.8086
Cl 1.0434 2.3197 11.7893
```

Output
Volume in Å³ per atom: 32.47
ΔE_f (raw) in kJ/mol of formula units: -1638.3


[9]
The following is a DFT calculation (PBE) of a geometry-optimized KAcZnCl6 structure.

Cell and atoms, written as extended XYZ:
```
18
Lattice="7.0756 0.0000 0.0000 -3.5378 6.1277 0.0000 0.0000 0.0000 13.5113" Properties=species:S:1:pos:R:3 pbc="T T T"
K 0.0000 0.0000 0.0000
K 0.0000 0.0000 6.7556
Ac 0.0000 4.0851 3.3778
Ac 3.5378 2.0426 10.1335
Zn 3.5378 2.0426 3.3778
Zn 0.0000 4.0851 10.1335
Cl 2.4666 3.7700 1.8963
Cl 5.5694 2.1066 1.8963
Cl -0.9604 5.8765 8.6520
Cl -2.0316 4.0211 11.6149
Cl 1.5062 2.1066 4.8593
Cl 4.6090 3.7700 4.8593
Cl 0.9604 5.8765 11.6149
Cl 4.4982 0.2511 4.8593
Cl -1.0712 2.3577 8.6520
Cl 2.5775 0.2511 1.8963
Cl 2.0316 4.0211 8.6520
Cl 1.0712 2.3577 11.6149
```

Output
Volume in Å³ per atom: 32.55
ΔE_f (raw) in kJ/mol of formula units: -1611.1


[10]
The following is a DFT calculation (PBE) of a geometry-optimized AcLaCl structure.

Cell and atoms, written as extended XYZ:
```
12
Lattice="7.3746 0.1891 0.8284 -0.2527 6.5095 0.7742 -0.9141 -1.4695 8.4321" Properties=species:S:1:pos:R:3 pbc="T T T"
Cl 0.8094 5.2095 8.4000
Cl 4.8512 2.5354 6.2392
Cl 5.3984 0.0196 1.6347
Cl 1.3566 2.6937 3.7955
La -0.1894 4.0248 5.9097
La 3.2768 3.6551 8.4460
La 6.3972 1.2043 4.1250
La 2.9310 1.5740 1.5887
Ac 0.3274 4.6573 1.7523
Ac 3.7969 4.5031 4.1842
Ac 5.8804 0.5718 8.2824
Ac 2.4109 0.7260 5.8505
```

Output
Volume in Å³ per atom: 34.89
Excess energy over the best structure of this formula in the dataset in meV per atom: 0
ΔE_f (raw) in kJ/mol of formula units: -265.4


[11]
The following is a DFT calculation (PBE) of a geometry-optimized Ac3LaCl structure.

Cell and atoms, written as extended XYZ:
```
5
Lattice="5.8675 0.0000 0.0000 0.0000 5.8675 0.0000 0.0000 0.0000 5.8675" Properties=species:S:1:pos:R:3 pbc="T T T"
Ac 0.0000 2.9337 0.0000
Ac 0.0000 0.0000 2.9337
Ac 2.9337 0.0000 0.0000
Cl 0.0000 0.0000 0.0000
La 2.9337 2.9337 2.9337
```

Output
Volume in Å³ per atom: 40.40
ΔE_f (raw) in kJ/mol of formula units: -245.2


[12]
The following is a DFT calculation (PBE) of a geometry-optimized AcLa2Cl8 structure.

Cell and atoms, written as extended XYZ:
```
11
Lattice="5.4696 -0.0431 -0.0647 -0.9588 7.5681 0.1346 -0.9588 -2.7906 7.0361" Properties=species:S:1:pos:R:3 pbc="T T T"
Ac 2.7348 -0.0216 -0.0324
La -0.9588 0.6461 4.7464
La -0.9588 4.1314 2.4243
Cl 3.4837 5.1941 4.8935
Cl 3.4837 2.5155 6.6781
Cl 0.6611 3.1037 4.6584
Cl 1.7760 5.0733 1.7500
Cl 1.7760 -0.3390 5.3560
Cl 2.8909 1.6307 2.4475
Cl 0.0683 2.2189 0.4279
Cl 0.0683 -0.4597 2.2125
```

Output
Volume in Å³ per atom: 26.58
ΔE_f (raw) in kJ/mol of formula units: -2369.6


[13]
The following is a DFT calculation (PBE) of a geometry-optimized Ac2LaCl structure.

Cell and atoms, written as extended XYZ:
```
4
Lattice="3.7538 0.0000 0.0000 1.8769 3.2509 0.0000 1.8769 1.0836 12.2829" Properties=species:S:1:pos:R:3 pbc="T T T"
Ac 1.8769 1.0836 8.5811
Ac 5.6307 3.2509 3.7018
Cl 3.7538 2.1673 6.1414
La 0.0000 0.0000 0.0000
```

Output
Volume in Å³ per atom: 37.47
ΔE_f (raw) in kJ/mol of formula units: -178.2


[14]
The following is a DFT calculation (PBE) of a geometry-optimized AcLaCl structure.

Cell and atoms, written as extended XYZ:
```
3
Lattice="-1.7971 1.4309 -3.7178 3.6007 -2.4736 -0.1240 -3.6558 -5.3076 -0.2757" Properties=species:S:1:pos:R:3 pbc="T T T"
Ac -0.2597 -0.3770 -0.0196
Cl -1.2712 -1.7192 -2.6159
La -0.3214 -4.2541 -1.4820
```

Output
Volume in Å³ per atom: 35.57
Excess energy over the best structure of this formula in the dataset in meV per atom: 25
ΔE_f (raw) in kJ/mol of formula units: -258.1


[15]
The following is a DFT calculation (PBE) of a geometry-optimized AcLaNCl structure.

Cell and atoms, written as extended XYZ:
```
4
Lattice="3.8221 -0.0005 -0.0001 -1.9106 3.3103 0.0000 -1.9105 -1.1027 7.5540" Properties=species:S:1:pos:R:3 pbc="T T T"
Ac 0.3615 -0.2417 5.1076
La -1.5499 3.0683 0.4168
N -1.5493 0.8620 6.7059
Cl 2.2720 0.8611 2.6483
```

Output
Volume in Å³ per atom: 23.89
ΔE_f (raw) in kJ/mol of formula units: -567.2


[16]
The following is a DFT calculation (PBE) of a geometry-optimized AcLaOsCl structure.

Cell and atoms, written as extended XYZ:
```
4
Lattice="4.2241 -0.0006 0.0005 -2.1117 3.6583 -0.0014 -2.1103 -1.2211 7.8916" Properties=species:S:1:pos:R:3 pbc="T T T"
Ac 0.4006 -0.2704 5.2630
La -1.7136 3.3911 0.5318
Os -1.7117 0.9499 6.9720
Cl 2.5122 0.9525 2.7751
```

Output
Volume in Å³ per atom: 30.48
ΔE_f (raw) in kJ/mol of formula units: -312.9


[17]
The following is a DFT calculation (PBE) of a geometry-optimized AcLaPCl structure.

Cell and atoms, written as extended XYZ:
```
4
Lattice="-3.2816 2.0298 -3.5271 -2.8589 -3.1571 -3.0312 -5.1647 -0.3512 0.7289" Properties=species:S:1:pos:R:3 pbc="T T T"
P 0.0000 0.0000 0.0000
Ac -2.8263 -0.3696 -1.4573
Cl -5.6526 -0.7392 -2.9147
La -8.4789 -1.1088 -4.3720
```

Output
Volume in Å³ per atom: 25.26
Excess energy over the best structure of this formula in the dataset in meV per atom: 222
ΔE_f (raw) in kJ/mol of formula units: -532.7


[18]
The following is a DFT calculation (PBE) of a geometry-optimized AcLaPCl structure.

Cell and atoms, written as extended XYZ:
```
4
Lattice="-2.4081 3.0060 -1.6762 -1.3334 -3.9839 0.0354 -1.2454 0.4883 7.9225" Properties=species:S:1:pos:R:3 pbc="T T T"
Ac -2.1900 1.2245 4.3446
La -1.6439 -3.4237 0.4916
P -2.5907 -0.8375 6.4847
Cl -3.2584 1.5532 1.2079
```

Output
Volume in Å³ per atom: 29.27
Excess energy over the best structure of this formula in the dataset in meV per atom: 0
ΔE_f (raw) in kJ/mol of formula units: -618.3


[19]
The following is a DFT calculation (PBE) of a geometry-optimized AcLaRhCl structure.

Cell and atoms, written as extended XYZ:
```
4
Lattice="-2.6548 -2.3320 2.2969 1.3588 -1.4130 -3.7308 7.5231 -1.4962 3.3155" Properties=species:S:1:pos:R:3 pbc="T T T"
Ac 3.9048 -2.3905 2.8216
La 1.5514 -1.6978 -3.0679
Rh 6.5553 -2.8296 1.5727
Cl 0.5805 -3.2779 1.9409
```

Output
Volume in Å³ per atom: 30.74
ΔE_f (raw) in kJ/mol of formula units: -484.3


[20]
The following is a DFT calculation (PBE) of a geometry-optimized AcLaRuCl structure.

Cell and atoms, written as extended XYZ:
```
4
Lattice="-0.0983 1.3069 -3.9643 -0.3513 -4.0698 0.8657 -7.7141 1.2647 2.8043" Properties=species:S:1:pos:R:3 pbc="T T T"
Ac -5.2295 0.8921 0.0064
La -0.8626 -3.6456 0.6046
Ru -7.0486 -0.7282 1.7156
Cl -2.9516 0.1620 -2.4896
```

Output
Volume in Å³ per atom: 30.00
ΔE_f (raw) in kJ/mol of formula units: -361.8


The following energy values (in Ry per atom) correspond, in order, to the records above: -0.2947, -0.2994, -0.2965, -0.3025, -0.3030, -0.3186, -0.2829, -0.3461, -0.2798, -0.3340, -0.3181, -0.3561, -0.3094, -0.3321, -0.4610, -0.4659, -0.4008, -0.4171, -0.4273, -0.4393.
The following total moment values (in μB per formula unit) correspond, in order, to the records above: 0.000, 0.000, 0.000, 0.000, 0.000, 0.000, 0.002, 3.000, 0.000, 0.000, 0.001, 1.188, 0.194, 0.000, 0.000, 0.000, 0.016, 0.001, 0.000, 0.000.